## Mg2Pb (PBEsol)

Data for Mg2Pb after structural relaxation.

Geometry as CIF:
```
data_Mg2Pb
_cell_length_a 5.944
_cell_length_b 5.944
_cell_length_c 5.944
_cell_angle_alpha 60.00
_cell_angle_beta 60.00
_cell_angle_gamma 60.00
_space_group_name_H-M_alt 'P 1'
_space_group_IT_number 1
_space_group_name_Hall 'P 1'
loop_
_atom_site_label
_atom_site_fract_x
_atom_site_fract_y
_atom_site_fract_z
Pb1 0.750 0.750 0.750
Pb2 0.500 0.500 0.500
Mg1 0.125 0.125 0.625
Mg2 0.125 0.625 0.125
Mg3 0.125 0.125 0.125
Mg4 0.625 0.125 0.125
```

Space-group type: Fd-3m (227)
VASP energy: -2.48 eV/atom
ΔE_f: 0.002 eV per atom

## MgPb5 (PBEsol)

Data for MgPb5 after structural relaxation.

Geometry as CIF:
```
data_MgPb5
_cell_length_a 4.787
_cell_length_b 4.846
_cell_length_c 7.809
_cell_angle_alpha 71.92
_cell_angle_beta 90.00
_cell_angle_gamma 90.00
_space_group_name_H-M_alt 'P 1'
_space_group_IT_number 1
_space_group_name_Hall 'P 1'
loop_
_atom_site_label
_atom_site_fract_x
_atom_site_fract_y
_atom_site_fract_z
Mg1 0.000 0.500 0.000
Pb1 0.500 0.337 0.327
Pb2 0.000 0.164 0.673
Pb3 0.500 0.000 0.000
Pb4 0.000 0.836 0.327
Pb5 0.500 0.663 0.673
```

Energy above the lowest structure with this stoichiometry: 0.0156 eV/atom
Space-group type: Cmmm (65)
VASP energy: -3.63 eV/atom
ΔE_f: -0.008 eV per atom

## MgPb2 (PBEsol)

Data for MgPb2 after structural relaxation.

Geometry as CIF:
```
data_MgPb2
_cell_length_a 3.482
_cell_length_b 3.482
_cell_length_c 7.114
_cell_angle_alpha 104.17
_cell_angle_beta 104.17
_cell_angle_gamma 90.00
_space_group_name_H-M_alt 'P 1'
_space_group_IT_number 1
_space_group_name_Hall 'P 1'
loop_
_atom_site_label
_atom_site_fract_x
_atom_site_fract_y
_atom_site_fract_z
Pb1 0.655 0.655 0.311
Pb2 0.345 0.345 0.689
Mg1 0.000 0.000 0.000
```

Energy above the lowest structure with this stoichiometry: 0.0000 eV/atom
Space-group type: I4/mmm (139)
VASP energy: -3.29 eV/atom
ΔE_f: -0.049 eV per atom

## MgPb2 (PBEsol)

Data for MgPb2 after structural relaxation.

Geometry as CIF:
```
data_MgPb2
_cell_length_a 3.356
_cell_length_b 5.345
_cell_length_c 5.345
_cell_angle_alpha 120.00
_cell_angle_beta 90.00
_cell_angle_gamma 90.00
_space_group_name_H-M_alt 'P 1'
_space_group_IT_number 1
_space_group_name_Hall 'P 1'
loop_
_atom_site_label
_atom_site_fract_x
_atom_site_fract_y
_atom_site_fract_z
Mg1 0.000 0.000 0.000
Pb1 0.309 0.333 0.667
Pb2 0.691 0.667 0.333
```

Energy above the lowest structure with this stoichiometry: 0.0725 eV/atom
Space-group type: P-3m1 (164)
VASP energy: -3.21 eV/atom
ΔE_f: 0.024 eV per atom

## MgPb (PBEsol)

Data for MgPb after structural relaxation.

Geometry as CIF:
```
data_MgPb
_cell_length_a 3.528
_cell_length_b 3.528
_cell_length_c 5.173
_cell_angle_alpha 70.06
_cell_angle_beta 70.06
_cell_angle_gamma 60.00
_space_group_name_H-M_alt 'P 1'
_space_group_IT_number 1
_space_group_name_Hall 'P 1'
loop_
_atom_site_label
_atom_site_fract_x
_atom_site_fract_y
_atom_site_fract_z
Pb1 0.500 0.500 0.500
Mg1 0.000 0.000 0.000
```

Space-group type: R-3m (166)
VASP energy: -2.94 eV/atom
ΔE_f: -0.081 eV per atom

## Mg3Pb (PBEsol)

Data for Mg3Pb after structural relaxation.

Geometry as CIF:
```
data_Mg3Pb
_cell_length_a 8.371
_cell_length_b 8.371
_cell_length_c 9.706
_cell_angle_alpha 90.00
_cell_angle_beta 90.00
_cell_angle_gamma 120.00
_space_group_name_H-M_alt 'P 1'
_space_group_IT_number 1
_space_group_name_Hall 'P 1'
loop_
_atom_site_label
_atom_site_fract_x
_atom_site_fract_y
_atom_site_fract_z
Mg1 0.631 0.631 0.609
Mg2 0.000 0.369 0.609
Mg3 0.369 0.000 0.609
Mg4 0.369 0.369 0.109
Mg5 0.000 0.631 0.109
Mg6 0.631 0.000 0.109
Mg7 0.254 0.254 0.769
Mg8 0.000 0.746 0.769
Mg9 0.746 0.000 0.769
Mg10 0.746 0.746 0.269
Mg11 0.000 0.254 0.269
Mg12 0.254 0.000 0.269
Mg13 0.667 0.333 0.806
Mg14 0.333 0.667 0.306
Mg15 0.667 0.333 0.306
Mg16 0.333 0.667 0.806
Mg17 0.000 0.000 0.036
Mg18 0.000 0.000 0.536
Pb1 0.661 0.661 0.946
Pb2 0.000 0.339 0.946
Pb3 0.339 0.000 0.946
Pb4 0.339 0.339 0.446
Pb5 0.000 0.661 0.446
Pb6 0.661 0.000 0.446
```

Space-group type: P6_3cm (185)
VASP energy: -2.31 eV/atom
ΔE_f: -0.023 eV per atom

Which of these has the lowest VASP energy? MgPb5

What is the formula in the first record? Mg2Pb

Look up the ΔE_f of the fourth one. 0.024 eV per atom